Record 1
VASP calculation (GGA-PBE) on a relaxed LaY12Tm7 crystal.

Its raw total energy is -5.52 eV/atom. Its energy of formation from the pure elements is 0.172 eV per atom.

The structure belongs to space group R-3 (No. 148, hexagonal axes); the cell edges are 15.0518, 15.0518 and 9.9141 Å and the angles 90.00°, 90.00° and 120.00°. The inequivalent atoms are La at (0.0000, 0.0000, 0.0000), Y at (0.0375, 0.2512, 0.5762), Y at (0.0462, 0.1970, 0.2554), Tm at (0.0000, 0.0000, 0.5000) and Tm at (0.0708, 0.2477, 0.9285).

=====

Record 2
VASP calculation (GGA-PBE) on a relaxed La2Y6Tm5 crystal.

Its raw total energy is -5.35 eV/atom. Its energy of formation from the pure elements is 0.107 eV per atom.

The structure belongs to space group Pbam (No. 55); the cell edges are 11.770, 20.202 and 3.590 Å and the angles 90.00°, 90.00° and 90.00°. The inequivalent atoms are La at (0.163, 0.219, 0.000), Y at (0.058, 0.923, 0.000), Y at (0.082, 0.636, 0.000), Y at (0.179, 0.378, 0.500), Tm at (0.000, 0.500, 0.500), Tm at (0.099, 0.779, 0.500) and Tm at (0.200, 0.051, 0.500).

=====

Record 3
VASP calculation (GGA-PBE) on a relaxed La2Y4Tm5 crystal.

Its raw total energy is -5.16 eV/atom. Its energy of formation from the pure elements is 0.120 eV per atom.

The structure belongs to space group C2/m (No. 12); the cell edges are 24.001, 3.584 and 9.079 Å and the angles 90.00°, 111.94° and 90.00°. The inequivalent atoms are La at (0.113, 0.000, 0.427), Y at (0.042, 0.000, 0.710), Y at (0.184, 0.500, 0.841), Tm at (0.000, 0.500, 0.000), Tm at (0.130, 0.000, 0.075) and Tm at (0.234, 0.500, 0.337).

=====

Record 4
VASP calculation (GGA-PBE) on a relaxed La2Y3Tm3 crystal.

Its raw total energy is -5.21 eV/atom. Its energy of formation from the pure elements is 0.119 eV per atom.

The structure belongs to space group Cmcm (No. 63); the cell edges are 3.595, 17.669 and 16.738 Å and the angles 90.00°, 90.00° and 90.00°. The inequivalent atoms are La at (0.000, 0.219, 0.152), Y at (0.000, 0.359, 0.016), Y at (0.000, 0.393, 0.250), Tm at (0.000, 0.006, 0.100) and Tm at (0.000, 0.423, 0.750).

=====

Record 5
VASP calculation (GGA-PBE) on a relaxed LaY5Tm crystal.

Its raw total energy is -5.76 eV/atom. Its energy of formation from the pure elements is 0.195 eV per atom.

The structure belongs to space group C2/c (No. 15); the cell edges are 11.379, 12.686 and 6.978 Å and the angles 90.00°, 109.48° and 90.00°. The inequivalent atoms are La at (0.000, 0.157, 0.250), Y at (0.000, 0.106, 0.750), Y at (0.028, 0.367, 0.535), Y at (0.245, 0.471, 0.361) and Tm at (0.250, 0.250, 0.000).

=====

Record 6
VASP calculation (GGA-PBE) on a relaxed La5Y4Tm crystal.

Its raw total energy is -5.47 eV/atom. Its energy of formation from the pure elements is 0.024 eV per atom.

The structure belongs to space group P4/mmm (No. 123); the cell edges are 3.706, 3.706 and 25.101 Å and the angles 90.00°, 90.00° and 90.00°. The inequivalent atoms are La at (0.000, 0.000, 0.000), La at (0.000, 0.000, 0.202), La at (0.000, 0.000, 0.403), Y at (0.500, 0.500, 0.101), Y at (0.500, 0.500, 0.302) and Tm at (0.500, 0.500, 0.500).

=====

Record 7
VASP calculation (GGA-PBE) on a relaxed LaY6Tm4 crystal.

Its raw total energy is -5.28 eV/atom. Its energy of formation from the pure elements is 0.316 eV per atom.

The structure belongs to space group P-6m2 (No. 187); the cell edges are 9.0864, 9.0864 and 5.2944 Å and the angles 90.00°, 90.00° and 120.00°. The inequivalent atoms are La at (0.0000, 0.0000, 0.0000), Y at (0.2066, 0.4131, 0.5000), Y at (0.5351, 0.0702, 0.0000), Tm at (0.3333, 0.6667, 0.0000) and Tm at (0.4118, 0.2059, 0.5000).

=====

Record 8
VASP calculation (GGA-PBE) on a relaxed LaY6Tm8 crystal.

Its raw total energy is -5.08 eV/atom. Its energy of formation from the pure elements is 0.222 eV per atom.

The structure belongs to space group P-3 (No. 147); the cell edges are 9.4697, 9.4697 and 6.3769 Å and the angles 90.00°, 90.00° and 120.00°. The inequivalent atoms are La at (0.0000, 0.0000, 0.0000), Y at (0.1094, 0.4248, 0.0840), Tm at (0.0228, 0.6842, 0.4150) and Tm at (0.3333, 0.6667, 0.6456).

=====

Record 9
VASP calculation (GGA-PBE) on a relaxed La2Y12Tm5 crystal.

Its raw total energy is -5.75 eV/atom. Its energy of formation from the pure elements is 0.029 eV per atom.

The structure belongs to space group P-1 (No. 2); the cell edges are 6.171, 9.458 and 10.707 Å and the angles 79.10°, 84.54° and 89.94°. The inequivalent atoms are La at (0.103, 0.421, 0.367), Y at (0.054, 0.209, 0.688), Y at (0.159, 0.632, 0.052), Y at (0.213, 0.844, 0.740), Y at (0.264, 0.051, 0.420), Y at (0.316, 0.261, 0.102), Y at (0.422, 0.686, 0.471), Tm at (0.000, 0.000, 0.000), Tm at (0.370, 0.473, 0.792) and Tm at (0.474, 0.896, 0.155).

=====

Record 10
VASP calculation (GGA-PBE) on a relaxed La2YTm crystal.

Its raw total energy is -5.17 eV/atom. Its energy of formation from the pure elements is 0.026 eV per atom.

The structure belongs to space group Cmmm (No. 65); the cell edges are 7.421, 9.864 and 3.722 Å and the angles 90.00°, 90.00° and 90.00°. The inequivalent atoms are La at (0.250, 0.250, 0.000), Y at (0.000, 0.000, 0.500) and Tm at (0.000, 0.500, 0.500).

=====

Record 11
VASP calculation (GGA-PBE) on a relaxed La8Y2Tm crystal.

Its raw total energy is -5.04 eV/atom. Its energy of formation from the pure elements is 0.128 eV per atom.

The structure belongs to space group C2/m (No. 12); the cell edges are 9.276, 16.920 and 6.063 Å and the angles 90.00°, 124.05° and 90.00°. The inequivalent atoms are La at (0.000, 0.205, 0.000), La at (0.081, 0.500, 0.800), La at (0.214, 0.119, 0.686), Y at (0.000, 0.311, 0.500) and Tm at (0.000, 0.000, 0.000).

=====

In states/eV/cell, the D(E_F) values for the records above are, in order, 124.8; 38.5; 32.3; 43.9; 43.6; 17.1; 17.2; 22.9; 29.1; 13.3; 30.8.